DFT (GGA-PBE) results for crystalline La2PrI6 at its relaxed geometry.

Its energy above the lowest structure with this stoichiometry is 100.6 meV/atom. The calculation puts the raw formation energy at -1265 meV/atom. The calculation puts the volume at 45.29 A^3/atom. The calculation puts the density at 4.81 g cm⁻³.

Lattice parameters (Å, degrees): 8.149 8.149 12.277 90.00 90.00 90.00
Element x y z (fractional)
1 I 0.282 0.282 0.836
2 I 0.785 0.215 0.000
3 I 0.782 0.218 0.336
4 I 0.215 0.785 0.000
5 I 0.285 0.285 0.500
6 I 0.218 0.782 0.336
7 I 0.715 0.715 0.500
8 I 0.718 0.718 0.836
9 I 0.718 0.718 0.164
10 I 0.282 0.282 0.164
11 I 0.782 0.218 0.664
12 I 0.218 0.782 0.664
13 Pr 0.500 0.500 0.000
14 Pr 0.000 0.000 0.500
15 La 0.500 0.500 0.327
16 La 0.500 0.500 0.673
17 La 0.000 0.000 0.173
18 La 0.000 0.000 0.827

---

DFT (GGA-PBE) results for crystalline Mg2CrSb2 at its relaxed geometry.

The calculation puts the raw formation energy at 164 meV/atom. The calculation puts the volume at 21.46 A^3/atom. The calculation puts the density at 5.33 g cm⁻³.

Lattice parameters (Å, degrees): 6.955 6.955 4.436 90.00 90.00 90.00
Element x y z (fractional)
1 Sb 0.347 0.847 0.000
2 Sb 0.847 0.653 0.000
3 Sb 0.153 0.347 0.000
4 Sb 0.653 0.153 0.000
5 Cr 0.000 0.000 0.000
6 Cr 0.500 0.500 0.000
7 Mg 0.165 0.665 0.500
8 Mg 0.335 0.165 0.500
9 Mg 0.835 0.335 0.500
10 Mg 0.665 0.835 0.500

---

DFT (GGA-PBE) results for crystalline CeSnBr6 at its relaxed geometry.

Its energy above the lowest structure with this stoichiometry is 0.0 meV/atom. The calculation puts the raw formation energy at -1266 meV/atom. The calculation puts the volume at 39.90 A^3/atom. The calculation puts the density at 3.84 g cm⁻³.

Lattice parameters (Å, degrees): 7.350 7.350 7.200 97.92 97.92 121.24
Element x y z (fractional)
1 Br 0.253 0.253 0.737
2 Br 0.886 0.586 0.742
3 Br 0.586 0.886 0.742
4 Br 0.114 0.414 0.258
5 Br 0.747 0.747 0.263
6 Br 0.414 0.114 0.258
7 Sn 0.000 0.000 0.000
8 Ce 0.500 0.500 0.500

---

Look up the density of the first one. 4.81 g cm⁻³

---

Please write out number 3 again, unchanged.
DFT (GGA-PBE) results for crystalline CeSnBr6 at its relaxed geometry.

Its energy above the lowest structure with this stoichiometry is 0.0 meV/atom. The calculation puts the raw formation energy at -1266 meV/atom. The calculation puts the volume at 39.90 A^3/atom. The calculation puts the density at 3.84 g cm⁻³.

Lattice parameters (Å, degrees): 7.350 7.350 7.200 97.92 97.92 121.24
Element x y z (fractional)
1 Br 0.253 0.253 0.737
2 Br 0.886 0.586 0.742
3 Br 0.586 0.886 0.742
4 Br 0.114 0.414 0.258
5 Br 0.747 0.747 0.263
6 Br 0.414 0.114 0.258
7 Sn 0.000 0.000 0.000
8 Ce 0.500 0.500 0.500